Record 1
Compound: RbScAlRu2
Source: Alexandria
Functional: PBE
Structure: relaxed

Calculated values
D(E_F) (states/eV/atom): 1.118
E_form (meV/atom): 2174

Cell and atoms, written as CIF:
```
data_RbScAlRu2
_cell_length_a 4.749
_cell_length_b 4.749
_cell_length_c 5.054
_cell_angle_alpha 90.00
_cell_angle_beta 90.00
_cell_angle_gamma 90.00
_space_group_name_H-M_alt 'P 4/m m m'
_space_group_IT_number 123
_space_group_name_Hall '-P 4 2'
loop_
_atom_site_label
_atom_site_type_symbol
_atom_site_fract_x
_atom_site_fract_y
_atom_site_fract_z
Rb1 Rb 0.000 0.000 0.000
Sc1 Sc 0.500 0.500 0.500
Al1 Al 0.000 0.000 0.500
Ru1 Ru 0.000 0.500 0.000
```

***

Record 2
Compound: RbTaAl2Ru
Source: Alexandria
Functional: PBE
Structure: relaxed

Calculated values
D(E_F) (states/eV/atom): 1.109
E_form (meV/atom): 2606

Cell and atoms, written as CIF:
```
data_RbTaAl2Ru
_cell_length_a 4.956
_cell_length_b 4.956
_cell_length_c 4.605
_cell_angle_alpha 90.00
_cell_angle_beta 90.00
_cell_angle_gamma 90.00
_space_group_name_H-M_alt 'P 4/m m m'
_space_group_IT_number 123
_space_group_name_Hall '-P 4 2'
loop_
_atom_site_label
_atom_site_type_symbol
_atom_site_fract_x
_atom_site_fract_y
_atom_site_fract_z
Rb1 Rb 0.000 0.000 0.000
Ta1 Ta 0.500 0.500 0.500
Al1 Al 0.000 0.500 0.000
Ru1 Ru 0.000 0.000 0.500
```

***

Record 3
Compound: Rb2AlRuW
Source: Alexandria
Functional: PBE
Structure: relaxed

Calculated values
D(E_F) (states/eV/atom): 0.817
E_form (meV/atom): 2224

Cell and atoms, written as CIF:
```
data_Rb2AlRuW
_cell_length_a 6.592
_cell_length_b 6.592
_cell_length_c 5.093
_cell_angle_alpha 90.00
_cell_angle_beta 90.00
_cell_angle_gamma 90.00
_space_group_name_H-M_alt 'P 4/m m m'
_space_group_IT_number 123
_space_group_name_Hall '-P 4 2'
loop_
_atom_site_label
_atom_site_type_symbol
_atom_site_fract_x
_atom_site_fract_y
_atom_site_fract_z
Rb1 Rb 0.000 0.500 0.000
Al1 Al 0.000 0.000 0.500
Ru1 Ru 0.500 0.500 0.500
W1 W 0.000 0.000 0.000
```

***

Record 4
Compound: RbYAl2Ru
Source: Alexandria
Functional: PBE
Structure: relaxed

Calculated values
D(E_F) (states/eV/atom): 0.513
E_form (meV/atom): 1666

Cell and atoms, written as CIF:
```
data_RbYAl2Ru
_cell_length_a 5.289
_cell_length_b 5.289
_cell_length_c 4.783
_cell_angle_alpha 90.00
_cell_angle_beta 90.00
_cell_angle_gamma 90.00
_space_group_name_H-M_alt 'P 4/m m m'
_space_group_IT_number 123
_space_group_name_Hall '-P 4 2'
loop_
_atom_site_label
_atom_site_type_symbol
_atom_site_fract_x
_atom_site_fract_y
_atom_site_fract_z
Rb1 Rb 0.000 0.000 0.000
Y1 Y 0.500 0.500 0.500
Al1 Al 0.000 0.500 0.000
Ru1 Ru 0.000 0.000 0.500
```

***

Record 5
Compound: RbZr2AlRu
Source: Alexandria
Functional: PBE
Structure: relaxed

Calculated values
D(E_F) (states/eV/atom): 0.826
E_form (meV/atom): 379

Cell and atoms, written as CIF:
```
data_RbZr2AlRu
_cell_length_a 5.117
_cell_length_b 5.117
_cell_length_c 5.034
_cell_angle_alpha 90.00
_cell_angle_beta 90.00
_cell_angle_gamma 90.00
_space_group_name_H-M_alt 'P 4/m m m'
_space_group_IT_number 123
_space_group_name_Hall '-P 4 2'
loop_
_atom_site_label
_atom_site_type_symbol
_atom_site_fract_x
_atom_site_fract_y
_atom_site_fract_z
Rb1 Rb 0.000 0.000 0.000
Zr1 Zr 0.000 0.500 0.500
Al1 Al 0.500 0.500 0.000
Ru1 Ru 0.500 0.500 0.500
```

***

Record 6
Compound: RbAlS3
Source: Alexandria
Functional: PBE
Structure: relaxed

Calculated values
Uncorrected formation energy (eV/f.u.): 5.9
ΔE to the lowest computed polymorph (meV/atom): 2186.8
D(E_F) (states/eV/atom): 1.091

Cell and atoms, written as CIF:
```
data_RbAlS3
_cell_length_a 5.924
_cell_length_b 5.924
_cell_length_c 5.924
_cell_angle_alpha 90.00
_cell_angle_beta 90.00
_cell_angle_gamma 90.00
_space_group_name_H-M_alt 'P m -3 m'
_space_group_IT_number 221
_space_group_name_Hall '-P 4 2 3'
loop_
_atom_site_label
_atom_site_type_symbol
_atom_site_fract_x
_atom_site_fract_y
_atom_site_fract_z
Rb1 Rb 0.000 0.000 0.000
Al1 Al 0.500 0.500 0.500
S1 S 0.000 0.000 0.500
```